i:
Crystalline LaTi3Rh at its relaxed geometry. Source: Alexandria via LeMat-Bulk, functional GGA-PBE.

a b c (Å): 4.8344 4.8344 4.8344
angles (deg): 90.00 90.00 90.00
Closest atoms and distances in Å follow each position.
Atoms (fractional coordinates):
Ti  0.0000  0.5000  0.0000  2 Rh 2.42
Ti  0.0000  0.0000  0.5000  2 Rh 2.42
Ti  0.5000  0.0000  0.0000  2 Rh 2.42
Rh  0.0000  0.0000  0.0000  6 Ti 2.42
La  0.5000  0.5000  0.5000  12 Ti 3.42

=====

ii:
Crystalline LaTi3Rh at its relaxed geometry. Source: Alexandria via LeMat-Bulk, functional GGA-PBE.

a b c (Å): 4.7009 4.7009 4.7009
angles (deg): 90.00 90.00 90.00
Closest atoms and distances in Å follow each position.
Atoms (fractional coordinates):
Ti  0.0000  0.5000  0.0000  2 La 2.35
Ti  0.0000  0.0000  0.5000  2 La 2.35
Ti  0.5000  0.0000  0.0000  2 La 2.35
Rh  0.5000  0.5000  0.5000  12 Ti 3.32
La  0.0000  0.0000  0.0000  6 Ti 2.35

=====

Which one sits at the top of the stability order? i does.

=====

i:
Crystalline LaTi2Rh at its relaxed geometry. Source: Alexandria via LeMat-Bulk, functional GGA-PBE.

a b c (Å): 4.6714 4.6714 9.6786
angles (deg): 76.04 76.04 90.00
Closest atoms and distances in Å follow each position.
Atoms (fractional coordinates):
Ti  0.3751  0.1250  0.2500  2 Ti 2.34, 2 Rh 2.56
Ti  0.3749  0.6250  0.2500  2 Ti 2.34, 2 Rh 2.56
Ti  0.3750  0.6249  0.7500  2 Ti 2.34, 2 Rh 2.56
Ti  0.8750  0.6251  0.7500  2 Ti 2.34, 2 Rh 2.56
Rh  0.5000  0.5000  0.0000  4 Ti 2.56
Rh  0.2500  0.7500  0.5000  4 Ti 2.56
La  0.0000  0.0000  0.0000  4 Rh 3.30, 8 Ti 3.46
La  0.7500  0.2500  0.5000  4 Rh 3.30, 8 Ti 3.46

=====

ii:
Crystalline LaTi2Rh at its relaxed geometry. Source: Alexandria via LeMat-Bulk, functional GGA-PBE.

a b c (Å): 4.6829 4.6829 4.6829
angles (deg): 60.00 60.00 60.00
Closest atoms and distances in Å follow each position.
Atoms (fractional coordinates):
Ti  0.2500  0.2500  0.2500  4 La 2.87, 4 Rh 2.87
Ti  0.7500  0.7500  0.7500  4 La 2.87, 4 Rh 2.87
Rh  0.0000  0.0000  0.0000  8 Ti 2.87
La  0.5000  0.5000  0.5000  8 Ti 2.87

=====

Which one sits at the top of the stability order? ii does.